Here is Mn3CI after structural relaxation from Alexandria via LeMat-Bulk. Energies are from PBE. Values from VASP.

Properties
E above lowest polymorph = 0.000 eV per atom
Formation energy from raw total energies = 53 kJ per mole of atoms

Structure (Quantum ESPRESSO input):
```
&SYSTEM
  ibrav = 0, nat = 5, ntyp = 3
/
ATOMIC_SPECIES
Mn 54.94 Mn.upf
C 12.01 C.upf
I 126.90 I.upf
CELL_PARAMETERS angstrom
-3.047 0.492 2.664
-0.932 -3.955 -0.336
2.544 -0.860 3.068
ATOMIC_POSITIONS crystal
Mn 0.000 0.000 0.500
Mn 0.000 0.500 0.000
Mn 0.500 0.000 0.000
C 0.000 0.000 0.000
I 0.500 0.500 0.500
```